No. 1
Material: Co2AsHRu
Method: DFT, PBE-GGA
State: relaxed

- Raw total energy: -0.4619 Ry per atom
- Magnetization: 0.00 μB per atom

Geometry as POSCAR:
```
Co2AsHRu
1.0
3.655 0.000 0.000
0.000 3.655 0.000
0.000 0.000 3.829
Co As H Ru
2 1 1 1
direct
0.000 0.500 0.000
0.500 0.000 0.000
0.000 0.000 0.500
0.500 0.500 0.000
0.500 0.500 0.500
```



No. 2
Material: CoAsH2S
Method: DFT, PBE-GGA
State: relaxed

- Raw total energy: -0.2955 Ry per atom
- Magnetization: 0.36 μB per atom

Geometry as POSCAR:
```
CoAsH2S
1.0
3.411 0.000 0.000
0.000 3.411 0.000
0.000 0.000 5.405
Co As H S
1 1 2 1
direct
0.000 0.000 0.000
0.500 0.500 0.500
0.000 0.500 0.500
0.500 0.000 0.500
0.500 0.500 0.000
```



No. 3
Material: CoAs2HSe
Method: DFT, PBE-GGA
State: relaxed

- Magnetization: 0.00 μB per atom
- Polymorph energy (0 for the lowest one): 0.30 eV/f.u.

Geometry as POSCAR:
```
CoAs2HSe
1.0
4.435 0.000 0.000
0.000 4.435 0.000
0.000 0.000 4.909
Co As H Se
1 2 1 1
direct
0.000 0.000 0.000
0.000 0.500 0.000
0.500 0.000 0.000
0.500 0.500 0.500
0.000 0.000 0.500
```



No. 4
Material: CoAs2HSe
Method: DFT, PBE-GGA
State: relaxed

- Magnetization: 0.30 μB per atom
- Polymorph energy (0 for the lowest one): 0.00 eV/f.u.

Geometry as POSCAR:
```
CoAs2HSe
1.0
3.864 0.000 0.000
0.000 3.864 0.000
0.000 0.000 5.102
Co As H Se
1 2 1 1
direct
0.000 0.000 0.000
0.000 0.500 0.500
0.500 0.000 0.500
0.500 0.500 0.500
0.500 0.500 0.000
```



Repeat the fourth record exactly.
Material: CoAs2HSe
Method: DFT, PBE-GGA
State: relaxed

- Magnetization: 0.30 μB per atom
- Polymorph energy (0 for the lowest one): 0.00 eV/f.u.

Geometry as POSCAR:
```
CoAs2HSe
1.0
3.864 0.000 0.000
0.000 3.864 0.000
0.000 0.000 5.102
Co As H Se
1 2 1 1
direct
0.000 0.000 0.000
0.000 0.500 0.500
0.500 0.000 0.500
0.500 0.500 0.500
0.500 0.500 0.000
```